## RbTlFe2Br8 (GGA-PBE)

Data for a relaxed structure of RbTlFe2Br8. Values from VASP.

The structure in Quantum ESPRESSO input format:
```
&SYSTEM
  ibrav = 0, nat = 12, ntyp = 4
/
ATOMIC_SPECIES
Rb 85.47 Rb.upf
Tl 204.38 Tl.upf
Fe 55.84 Fe.upf
Br 79.90 Br.upf
CELL_PARAMETERS angstrom
5.7789 -3.9676 0.0000
5.7789 3.9676 0.0000
-0.5974 0.0000 11.0099
ATOMIC_POSITIONS angstrom
Rb 0.0000 0.0000 0.0000
Tl -0.2987 0.0000 5.5049
Fe 4.2422 0.0000 8.1669
Fe 6.7183 0.0000 2.8430
Br 5.3134 1.9179 2.8402
Br 5.6471 1.9179 8.1697
Br 3.0074 0.0000 6.1754
Br 2.9678 0.0000 10.1385
Br 7.9927 0.0000 0.8714
Br 7.9531 0.0000 4.8345
Br 5.3134 -1.9179 2.8402
Br 5.6471 -1.9179 8.1697
```

Output
Space group = C2/m (12)
Total energy = -3.596 eV per atom
Formation energy without anion corrections = -0.79 eV/atom



## RbTmFe2Br8 (GGA-PBE)

Data for a relaxed structure of RbTmFe2Br8. Values from VASP.

The structure in Quantum ESPRESSO input format:
```
&SYSTEM
  ibrav = 0, nat = 12, ntyp = 4
/
ATOMIC_SPECIES
Rb 85.47 Rb.upf
Tm 168.93 Tm.upf
Fe 55.84 Fe.upf
Br 79.90 Br.upf
CELL_PARAMETERS angstrom
5.6386 -3.8730 0.0000
5.6386 3.8730 0.0000
-0.9591 0.0000 10.0698
ATOMIC_POSITIONS angstrom
Rb 0.0000 0.0000 0.0000
Tm -0.4796 0.0000 5.0349
Fe 3.5584 0.0000 7.1655
Fe 6.7597 0.0000 2.9043
Br 5.1889 1.9479 3.0122
Br 2.2843 0.0000 5.0701
Br 5.1293 1.9479 7.0576
Br 2.5568 0.0000 9.2992
Br 7.7613 0.0000 0.7706
Br 5.1889 -1.9479 3.0122
Br 8.0338 0.0000 4.9997
Br 5.1293 -1.9479 7.0576
```

Output
Space group = C2/m (12)
Total energy = -4.056 eV per atom
Formation energy without anion corrections = -1.08 eV/atom



## RbVFe2Br8 (GGA-PBE)

Data for a relaxed structure of RbVFe2Br8. Values from VASP.

The structure in Quantum ESPRESSO input format:
```
&SYSTEM
  ibrav = 0, nat = 12, ntyp = 4
/
ATOMIC_SPECIES
Rb 85.47 Rb.upf
V 50.94 V.upf
Fe 55.84 Fe.upf
Br 79.90 Br.upf
CELL_PARAMETERS angstrom
5.5041 -3.7391 0.0000
5.5041 3.7391 0.0000
-1.0884 0.0000 9.8545
ATOMIC_POSITIONS angstrom
Rb 0.0000 0.0000 0.0000
V -0.5442 0.0000 4.9272
Fe 3.3997 0.0000 6.9089
Fe 6.5199 0.0000 2.9455
Br 4.9723 1.9179 3.0321
Br 2.0407 0.0000 4.9107
Br 4.9474 1.9179 6.8224
Br 2.4462 0.0000 9.0630
Br 7.4735 0.0000 0.7915
Br 4.9723 -1.9179 3.0321
Br 7.8790 0.0000 4.9438
Br 4.9474 -1.9179 6.8224
```

Output
Space group = C2/m (12)
Total energy = -4.115 eV per atom
Formation energy without anion corrections = -0.75 eV/atom



## Rb2FeWBr6 (GGA-PBE)

Data for a relaxed structure of Rb2FeWBr6. Values from VASP.

The structure in Quantum ESPRESSO input format:
```
&SYSTEM
  ibrav = 0, nat = 10, ntyp = 4
/
ATOMIC_SPECIES
Rb 85.47 Rb.upf
Fe 55.84 Fe.upf
W 183.84 W.upf
Br 79.90 Br.upf
CELL_PARAMETERS angstrom
0.0000 5.3026 5.3026
5.3026 0.0000 5.3026
5.3026 5.3026 0.0000
ATOMIC_POSITIONS angstrom
Rb 2.6513 2.6513 2.6513
Rb 7.9539 7.9539 7.9539
Fe 0.0000 0.0000 0.0000
W 5.3026 5.3026 5.3026
Br 5.3026 5.3026 2.6730
Br 5.3026 2.6730 5.3026
Br 7.9322 5.3026 5.3026
Br 2.6730 5.3026 5.3026
Br 5.3026 7.9322 5.3026
Br 5.3026 5.3026 7.9322
```

Output
Space group = Fm-3m (225)
Total energy = -4.011 eV per atom
Formation energy without anion corrections = -0.67 eV/atom



## RbYFeBr6 (GGA-PBE)

Data for a relaxed structure of RbYFeBr6. Values from VASP.

The structure in Quantum ESPRESSO input format:
```
&SYSTEM
  ibrav = 0, nat = 9, ntyp = 4
/
ATOMIC_SPECIES
Rb 85.47 Rb.upf
Y 88.91 Y.upf
Fe 55.84 Fe.upf
Br 79.90 Br.upf
CELL_PARAMETERS angstrom
3.5524 -6.1558 0.0000
3.5524 6.1558 0.0000
-0.0144 0.0000 7.7102
ATOMIC_POSITIONS angstrom
Rb 0.0000 0.0000 0.0000
Y 3.5452 -2.0487 3.8551
Fe 3.5452 2.0528 3.8551
Br 1.4045 2.2381 5.4188
Br 2.3117 3.8070 2.2858
Br 4.7787 3.8070 5.4244
Br 2.6631 0.1019 2.2722
Br 4.4273 0.1019 5.4380
Br 5.6859 2.2381 2.2914
```

Output
Space group = C2 (5)
Total energy = -4.238 eV per atom
Formation energy without anion corrections = -1.36 eV/atom



## Rb2ZnFeBr6 (GGA-PBE)

Data for a relaxed structure of Rb2ZnFeBr6. Values from VASP.

The structure in Quantum ESPRESSO input format:
```
&SYSTEM
  ibrav = 0, nat = 10, ntyp = 4
/
ATOMIC_SPECIES
Rb 85.47 Rb.upf
Zn 65.41 Zn.upf
Fe 55.84 Fe.upf
Br 79.90 Br.upf
CELL_PARAMETERS angstrom
-3.7715 3.7715 5.3789
3.7715 -3.7715 5.3789
3.7715 3.7715 -5.3789
ATOMIC_POSITIONS angstrom
Rb 3.7715 0.0000 2.6895
Rb 0.0000 3.7715 2.6895
Zn 0.0000 0.0000 0.0000
Fe 0.0000 0.0000 5.3789
Br 1.8259 1.8259 0.0000
Br 1.9456 -1.9456 5.3789
Br 0.0000 0.0000 2.8994
Br 0.0000 0.0000 7.8585
Br -1.9456 1.9456 5.3789
Br 1.9456 1.9456 5.3789
```

Output
Space group = I4/mmm (139)
Total energy = -3.183 eV per atom
Formation energy without anion corrections = -1.01 eV/atom



## RbZnFe2Br8 (GGA-PBE)

Data for a relaxed structure of RbZnFe2Br8. Values from VASP.

The structure in Quantum ESPRESSO input format:
```
&SYSTEM
  ibrav = 0, nat = 12, ntyp = 4
/
ATOMIC_SPECIES
Rb 85.47 Rb.upf
Zn 65.41 Zn.upf
Fe 55.84 Fe.upf
Br 79.90 Br.upf
CELL_PARAMETERS angstrom
5.5039 -3.7807 0.0000
5.5039 3.7807 0.0000
-1.2274 0.0000 9.9167
ATOMIC_POSITIONS angstrom
Rb 0.0000 0.0000 0.0000
Zn -0.6137 0.0000 4.9584
Fe 3.3321 0.0000 7.0033
Fe 6.4485 0.0000 2.9135
Br 4.9587 1.9151 3.0045
Br 1.9865 0.0000 5.0244
Br 4.8219 1.9151 6.9122
Br 2.3005 0.0000 9.1184
Br 7.4800 0.0000 0.7983
Br 4.9587 -1.9151 3.0045
Br 7.7941 0.0000 4.8923
Br 4.8219 -1.9151 6.9122
```

Output
Space group = C2/m (12)
Total energy = -3.460 eV per atom
Formation energy without anion corrections = -0.75 eV/atom



## Rb2ZrFeBr6 (GGA-PBE)

Data for a relaxed structure of Rb2ZrFeBr6. Values from VASP.

The structure in Quantum ESPRESSO input format:
```
&SYSTEM
  ibrav = 0, nat = 10, ntyp = 4
/
ATOMIC_SPECIES
Rb 85.47 Rb.upf
Zr 91.22 Zr.upf
Fe 55.84 Fe.upf
Br 79.90 Br.upf
CELL_PARAMETERS angstrom
-3.8077 3.8077 5.3791
3.8077 -3.8077 5.3791
3.8077 3.8077 -5.3791
ATOMIC_POSITIONS angstrom
Rb 3.8077 0.0000 2.6895
Rb 0.0000 3.8077 2.6895
Zr 0.0000 0.0000 0.0000
Fe 0.0000 0.0000 5.3791
Br 0.0000 0.0000 2.7255
Br 1.9274 1.9274 0.0000
Br 1.8803 -1.8803 5.3791
Br -1.8803 1.8803 5.3791
Br 0.0000 0.0000 8.0326
Br 1.8803 1.8803 5.3791
```

Output
Space group = I4/mmm (139)
Total energy = -4.007 eV per atom
Formation energy without anion corrections = -1.11 eV/atom



## FeReBr (GGA-PBE)

Data for a relaxed structure of FeReBr. Values from VASP.

The structure in Quantum ESPRESSO input format:
```
&SYSTEM
  ibrav = 0, nat = 3, ntyp = 3
/
ATOMIC_SPECIES
Fe 55.84 Fe.upf
Re 186.21 Re.upf
Br 79.90 Br.upf
CELL_PARAMETERS angstrom
4.3479 0.0000 0.0000
-2.1740 3.7654 0.0000
0.0000 0.0000 2.8701
ATOMIC_POSITIONS angstrom
Fe 0.0000 0.0000 0.0000
Re 2.1740 1.2551 1.4350
Br 0.0000 2.5103 1.4350
```

Output
Space group = P-6m2 (187)
Total energy = -6.399 eV per atom
Formation energy without anion corrections = 1.13 eV/atom
Distance to the lowest polymorph of the same formula = 410.1 meV/atom



## FeRe2Br (GGA-PBE)

Data for a relaxed structure of FeRe2Br. Values from VASP.

The structure in Quantum ESPRESSO input format:
```
&SYSTEM
  ibrav = 0, nat = 4, ntyp = 3
/
ATOMIC_SPECIES
Fe 55.84 Fe.upf
Re 186.21 Re.upf
Br 79.90 Br.upf
CELL_PARAMETERS angstrom
1.4407 0.8318 8.7917
-1.4407 0.8318 8.7917
0.0000 -1.6636 8.7917
ATOMIC_POSITIONS angstrom
Fe 0.0000 0.0000 0.0000
Re 0.0000 0.0000 12.9915
Re 0.0000 0.0000 19.7341
Br 0.0000 0.0000 6.8309
```

Output
Space group = R3m (160)
Total energy = -8.191 eV per atom
Formation energy without anion corrections = 0.57 eV/atom
Distance to the lowest polymorph of the same formula = 39.8 meV/atom



## FeReBr (GGA-PBE)

Data for a relaxed structure of FeReBr. Values from VASP.

The structure in Quantum ESPRESSO input format:
```
&SYSTEM
  ibrav = 0, nat = 3, ntyp = 3
/
ATOMIC_SPECIES
Fe 55.84 Fe.upf
Re 186.21 Re.upf
Br 79.90 Br.upf
CELL_PARAMETERS angstrom
0.0000 2.9733 2.9733
2.9733 0.0000 2.9733
2.9733 2.9733 0.0000
ATOMIC_POSITIONS angstrom
Fe 0.0000 0.0000 0.0000
Re 4.4599 4.4599 4.4599
Br 2.9733 2.9733 2.9733
```

Output
Space group = F-43m (216)
Total energy = -6.322 eV per atom
Formation energy without anion corrections = 1.21 eV/atom
Distance to the lowest polymorph of the same formula = 487.1 meV/atom



## FeRe2Br (GGA-PBE)

Data for a relaxed structure of FeRe2Br. Values from VASP.

The structure in Quantum ESPRESSO input format:
```
&SYSTEM
  ibrav = 0, nat = 4, ntyp = 3
/
ATOMIC_SPECIES
Fe 55.84 Fe.upf
Re 186.21 Re.upf
Br 79.90 Br.upf
CELL_PARAMETERS angstrom
-1.9569 1.9569 3.9545
1.9569 -1.9569 3.9545
1.9569 1.9569 -3.9545
ATOMIC_POSITIONS angstrom
Fe 0.0000 0.0000 0.0000
Re 1.9569 0.0000 1.9772
Re 0.0000 1.9569 1.9772
Br 0.0000 0.0000 3.9545
```

Output
Space group = I4/mmm (139)
Total energy = -7.381 eV per atom
Formation energy without anion corrections = 1.38 eV/atom
Distance to the lowest polymorph of the same formula = 850.1 meV/atom



Q: formation energy without anion corrections of number 2 (RbTmFe2Br8)?
A: -1.08 eV/atom



Q: Number 2 is which compound?
A: RbTmFe2Br8



Q: Number 8 is which compound?
A: Rb2ZrFeBr6